Record 1
Below is crystalline Al3Pt2 at its relaxed geometry, with properties calculated at the PBE-GGA level.

Unit cell a=4.126 b=4.126 c=11.136 alpha=90.00 beta=90.00 gamma=120.00
Fractional positions:
Al 0.000 0.000 0.000
Al 0.000 0.000 0.226
Al 0.000 0.000 0.500
Al 0.000 0.000 0.774
Al 0.333 0.667 0.334
Al 0.667 0.333 0.666
Pt 0.333 0.667 0.104
Pt 0.333 0.667 0.589
Pt 0.667 0.333 0.411
Pt 0.667 0.333 0.896

Results
Energy: -5.31 eV per atom
Spin magnetization: 0.000 μB per atom
E_form: -0.650 eV per atom


Record 2
Below is crystalline LiZnI2 at its relaxed geometry, with properties calculated at the PBE-GGA level.

Unit cell a=9.124 b=9.124 c=9.124 alpha=27.65 beta=27.65 gamma=27.65
Fractional positions:
Li 0.000 0.000 0.000
Zn 0.500 0.500 0.500
I 0.394 0.394 0.394
I 0.606 0.606 0.606

Results
Energy: -2.00 eV per atom
Spin magnetization: 0.000 μB per atom
Formation energy (no corrections): -427 meV per atom


Record 3
Below is crystalline BaMnP at its relaxed geometry, with properties calculated at the PBE-GGA level.

Unit cell a=5.177 b=5.177 c=5.177 alpha=60.00 beta=60.00 gamma=60.00
Fractional positions:
Ba 0.000 0.000 0.000
Mn 0.750 0.750 0.750
P 0.250 0.250 0.250

Results
Energy: -4.84 eV per atom
Spin magnetization: 1.722 μB per atom
E_form: 0.660 eV per atom


Record 4
Below is crystalline MgAgRu2 at its relaxed geometry, with properties calculated at the PBE-GGA level.

Unit cell a=5.770 b=5.770 c=5.770 alpha=101.07 beta=101.07 gamma=128.02
Fractional positions:
Mg 0.000 0.000 0.000
Mg 0.750 0.250 0.500
Ag 0.250 0.750 0.500
Ag 0.500 0.500 0.000
Ru 0.117 0.125 0.492
Ru 0.375 0.883 0.008
Ru 0.633 0.625 0.508
Ru 0.875 0.367 0.992

Results
Energy: -4.93 eV per atom
Spin magnetization: 0.000 μB per atom
E_form: 0.821 eV per atom


Record 5
Below is crystalline NaSb2TeAu at its relaxed geometry, with properties calculated at the PBE-GGA level.

Unit cell a=5.426 b=5.426 c=5.744 alpha=90.00 beta=90.00 gamma=90.00
Fractional positions:
Na 0.000 0.000 0.000
Sb 0.000 0.500 0.500
Sb 0.500 0.000 0.500
Te 0.500 0.500 0.000
Au 0.500 0.500 0.500

Results
Energy: -2.97 eV per atom
Spin magnetization: 0.012 μB per atom
Formation energy (no corrections): 225 meV per atom


Record 6
Below is crystalline Rb2CeCdS4 at its relaxed geometry, with properties calculated at the PBE-GGA level.

Unit cell a=7.134 b=7.134 c=7.134 alpha=115.68 beta=115.68 gamma=97.66
Fractional positions:
Rb 0.000 0.000 0.000
Rb 0.750 0.250 0.500
Ce 0.250 0.750 0.500
Cd 0.500 0.500 0.000
S 0.207 0.629 0.078
S 0.371 0.449 0.578
S 0.551 0.129 0.922
S 0.871 0.793 0.422

Results
Energy: -4.34 eV per atom
Spin magnetization: 0.000 μB per atom
Formation energy (no corrections): -1182 meV per atom


Record 7
Below is crystalline TmPbAu at its relaxed geometry, with properties calculated at the PBE-GGA level.

Unit cell a=4.821 b=4.821 c=3.615 alpha=90.00 beta=90.00 gamma=120.00
Fractional positions:
Tm 0.000 0.000 0.000
Pb 0.667 0.333 0.440
Au 0.333 0.667 0.632

Results
Energy: -4.29 eV per atom
Spin magnetization: 0.000 μB per atom
E_form: -0.469 eV per atom


Record 8
Below is crystalline AgB3Pt6 at its relaxed geometry, with properties calculated at the PBE-GGA level.

Unit cell a=5.581 b=5.610 c=5.637 alpha=109.61 beta=119.48 gamma=92.58
Fractional positions:
Ag 0.000 0.000 0.000
B 0.304 0.804 0.583
B 0.633 0.827 0.244
B 0.891 0.472 0.765
Pt 0.036 0.154 0.566
Pt 0.278 0.549 0.175
Pt 0.517 0.084 0.527
Pt 0.521 0.099 0.034
Pt 0.548 0.579 0.812
Pt 0.901 0.597 0.439

Results
Energy: -6.09 eV per atom
Spin magnetization: 0.000 μB per atom
E_form: -0.174 eV per atom


Record 9
Below is crystalline GdPaZnRu at its relaxed geometry, with properties calculated at the PBE-GGA level.

Unit cell a=4.934 b=4.934 c=4.934 alpha=60.00 beta=60.00 gamma=60.00
Fractional positions:
Gd 0.000 0.000 0.000
Pa 0.500 0.500 0.500
Zn 0.250 0.250 0.250
Ru 0.750 0.750 0.750

Results
Energy: -8.71 eV per atom
Spin magnetization: 1.803 μB per atom
E_form: -0.173 eV per atom


Record 10
Below is crystalline Na2EuMg at its relaxed geometry, with properties calculated at the PBE-GGA level.

Unit cell a=5.761 b=5.761 c=5.761 alpha=60.00 beta=60.00 gamma=60.00
Fractional positions:
Na 0.250 0.250 0.250
Na 0.750 0.750 0.750
Eu 0.000 0.000 0.000
Mg 0.500 0.500 0.500

Results
Energy: -3.50 eV per atom
Spin magnetization: 1.863 μB per atom
E_form: 0.130 eV per atom


Record 11
Below is crystalline ZnOs4Br at its relaxed geometry, with properties calculated at the PBE-GGA level.

Unit cell a=5.251 b=5.251 c=5.251 alpha=60.00 beta=60.00 gamma=60.00
Fractional positions:
Zn 0.000 0.000 0.000
Os 0.375 0.375 0.375
Os 0.375 0.375 0.876
Os 0.375 0.876 0.375
Os 0.876 0.375 0.375
Br 0.750 0.750 0.750

Results
Energy: -6.61 eV per atom
Spin magnetization: 0.340 μB per atom
Formation energy (no corrections): 1365 meV per atom


Record 12
Below is crystalline Y2AgP at its relaxed geometry, with properties calculated at the PBE-GGA level.

Unit cell a=6.138 b=6.138 c=6.138 alpha=140.84 beta=140.84 gamma=56.58
Fractional positions:
Y 0.000 0.000 0.000
Y 0.750 0.250 0.500
Ag 0.250 0.750 0.500
P 0.500 0.500 0.000

Results
Energy: -5.89 eV per atom
Spin magnetization: 0.000 μB per atom
E_form: -0.589 eV per atom


Record 13
Below is crystalline KIr3 at its relaxed geometry, with properties calculated at the PBE-GGA level.

Unit cell a=4.579 b=4.579 c=4.579 alpha=60.00 beta=60.00 gamma=60.00
Fractional positions:
K 0.000 0.000 0.000
Ir 0.250 0.250 0.250
Ir 0.500 0.500 0.500
Ir 0.750 0.750 0.750

Results
Energy: -5.60 eV per atom
Spin magnetization: 0.000 μB per atom
E_form: 1.318 eV per atom


Record 14
Below is crystalline TbPmNd2Se5 at its relaxed geometry, with properties calculated at the PBE-GGA level.

Unit cell a=5.171 b=5.171 c=10.970 alpha=90.00 beta=90.00 gamma=90.00
Fractional positions:
Tb 0.000 0.000 0.000
Pm 0.000 0.000 0.500
Nd 0.500 0.500 0.169
Nd 0.500 0.500 0.831
Se 0.000 0.000 0.251
Se 0.000 0.000 0.749
Se 0.000 0.500 0.000
Se 0.500 0.000 0.000
Se 0.500 0.500 0.500

Results
Energy: -5.30 eV per atom
Spin magnetization: 0.000 μB per atom
Formation energy (no corrections): -1261 meV per atom


Record 15
Below is crystalline Pu2Si6IrRh at its relaxed geometry, with properties calculated at the PBE-GGA level.

Unit cell a=12.894 b=12.894 c=12.894 alpha=26.15 beta=26.15 gamma=26.15
Fractional positions:
Pu 0.126 0.126 0.126
Pu 0.277 0.277 0.277
Pu 0.723 0.723 0.723
Pu 0.874 0.874 0.874
Si 0.065 0.662 0.662
Si 0.190 0.190 0.779
Si 0.190 0.779 0.190
Si 0.221 0.810 0.810
Si 0.338 0.338 0.935
Si 0.338 0.935 0.338
Si 0.662 0.065 0.662
Si 0.662 0.662 0.065
Si 0.779 0.190 0.190
Si 0.810 0.221 0.810
Si 0.810 0.810 0.221
Si 0.935 0.338 0.338
Ir 0.422 0.422 0.422
Ir 0.578 0.578 0.578
Rh 0.000 0.000 0.000
Rh 0.500 0.500 0.500

Results
Energy: -8.19 eV per atom
Spin magnetization: 1.065 μB per atom
Formation energy (no corrections): -447 meV per atom


Record 16
Below is crystalline BaSrMnTc2 at its relaxed geometry, with properties calculated at the PBE-GGA level.

Unit cell a=5.052 b=5.052 c=5.706 alpha=90.00 beta=90.00 gamma=90.00
Fractional positions:
Ba 0.000 0.000 0.000
Sr 0.000 0.000 0.500
Mn 0.500 0.500 0.500
Tc 0.000 0.500 0.000
Tc 0.500 0.000 0.000

Results
Energy: -3.87 eV per atom
Spin magnetization: 0.107 μB per atom
E_form: 2.828 eV per atom


Record 17
Below is crystalline Ag7Ru at its relaxed geometry, with properties calculated at the PBE-GGA level.

Unit cell a=5.824 b=5.824 c=5.824 alpha=60.00 beta=60.00 gamma=60.00
Fractional positions:
Ag 0.000 0.000 0.000
Ag 0.000 0.000 0.500
Ag 0.000 0.500 0.000
Ag 0.000 0.500 0.500
Ag 0.500 0.000 0.000
Ag 0.500 0.000 0.500
Ag 0.500 0.500 0.000
Ru 0.500 0.500 0.500

Results
Energy: -3.37 eV per atom
Spin magnetization: 0.154 μB per atom
E_form: 0.287 eV per atom


Record 18
Below is crystalline Na3AlTl3O8 at its relaxed geometry, with properties calculated at the PBE-GGA level.

Unit cell a=6.791 b=6.791 c=6.791 alpha=57.90 beta=57.90 gamma=57.90
Fractional positions:
Na 0.000 0.500 0.500
Na 0.500 0.000 0.500
Na 0.500 0.500 0.000
Al 0.500 0.500 0.500
Tl 0.000 0.000 0.500
Tl 0.000 0.500 0.000
Tl 0.500 0.000 0.000
O 0.243 0.243 0.243
O 0.279 0.709 0.709
O 0.291 0.291 0.721
O 0.291 0.721 0.291
O 0.709 0.279 0.709
O 0.709 0.709 0.279
O 0.721 0.291 0.291
O 0.757 0.757 0.757

Results
Energy: -4.90 eV per atom
Spin magnetization: 0.069 μB per atom
Formation energy (no corrections): -1265 meV per atom


Record 19
Below is crystalline CaTm2RhO5 at its relaxed geometry, with properties calculated at the PBE-GGA level.

Unit cell a=6.680 b=6.680 c=6.680 alpha=146.52 beta=130.91 gamma=60.73
Fractional positions:
Ca 0.000 0.000 0.000
Tm 0.297 0.797 0.500
Tm 0.703 0.203 0.500
Rh 0.500 0.500 0.000
O 0.100 0.345 0.755
O 0.409 0.655 0.755
O 0.500 0.000 0.500
O 0.591 0.345 0.245
O 0.900 0.655 0.245

Results
Energy: -7.23 eV per atom
Spin magnetization: 0.139 μB per atom
Formation energy (no corrections): -2447 meV per atom


Record 20
Below is crystalline CsAgBr3 at its relaxed geometry, with properties calculated at the PBE-GGA level.

Unit cell a=8.872 b=8.872 c=8.872 alpha=49.29 beta=49.29 gamma=49.29
Fractional positions:
Cs 0.116 0.116 0.116
Cs 0.884 0.884 0.884
Ag 0.334 0.334 0.334
Ag 0.666 0.666 0.666
Br 0.074 0.579 0.579
Br 0.421 0.421 0.926
Br 0.421 0.926 0.421
Br 0.579 0.074 0.579
Br 0.579 0.579 0.074
Br 0.926 0.421 0.421

Results
Energy: -2.55 eV per atom
Spin magnetization: 0.000 μB per atom
Formation energy (no corrections): -801 meV per atom


Record 21
Below is crystalline Mn2TcP at its relaxed geometry, with properties calculated at the PBE-GGA level.

Unit cell a=7.933 b=7.933 c=7.933 alpha=19.35 beta=19.35 gamma=19.35
Fractional positions:
Mn 0.243 0.243 0.243
Mn 0.757 0.757 0.757
Tc 0.000 0.000 0.000
P 0.500 0.500 0.500

Results
Energy: -8.55 eV per atom
Spin magnetization: 0.001 μB per atom
E_form: -0.025 eV per atom


Record 22
Below is crystalline CaPCl2 at its relaxed geometry, with properties calculated at the PBE-GGA level.

Unit cell a=9.974 b=9.974 c=9.974 alpha=24.31 beta=24.31 gamma=24.31
Fractional positions:
Ca 0.000 0.000 0.000
P 0.500 0.500 0.500
Cl 0.286 0.286 0.286
Cl 0.714 0.714 0.714

Results
Energy: -3.67 eV per atom
Spin magnetization: 0.750 μB per atom
Formation energy (no corrections): -896 meV per atom


Record 23
Below is crystalline TbZr2UN4 at its relaxed geometry, with properties calculated at the PBE-GGA level.

Unit cell a=5.798 b=5.798 c=5.798 alpha=131.51 beta=131.51 gamma=71.00
Fractional positions:
Tb 0.000 0.000 0.000
Zr 0.500 0.500 0.000
Zr 0.750 0.250 0.500
U 0.250 0.750 0.500
N 0.008 0.508 0.500
N 0.256 0.256 0.000
N 0.492 0.992 0.500
N 0.744 0.744 0.000

Results
Energy: -9.90 eV per atom
Spin magnetization: 0.000 μB per atom
Formation energy (no corrections): -1612 meV per atom


Record 24
Below is crystalline SrCe2PaP4 at its relaxed geometry, with properties calculated at the PBE-GGA level.

Unit cell a=7.126 b=4.112 c=7.155 alpha=90.00 beta=109.34 gamma=90.00
Fractional positions:
Sr 0.000 0.000 0.000
Ce 0.500 0.000 0.500
Ce 0.500 0.500 0.000
Pa 0.000 0.500 0.500
P 0.245 0.000 0.734
P 0.256 0.500 0.272
P 0.744 0.500 0.728
P 0.755 0.000 0.266

Results
Energy: -6.91 eV per atom
Spin magnetization: 0.205 μB per atom
E_form: -1.321 eV per atom


Record 25
Below is crystalline SrCa3Ni8 at its relaxed geometry, with properties calculated at the PBE-GGA level.

Unit cell a=8.882 b=8.882 c=8.882 alpha=33.58 beta=33.58 gamma=33.58
Fractional positions:
Sr 0.000 0.000 0.000
Ca 0.376 0.376 0.376
Ca 0.500 0.500 0.500
Ca 0.874 0.874 0.874
Ni 0.187 0.187 0.187
Ni 0.436 0.436 0.935
Ni 0.436 0.935 0.436
Ni 0.442 0.938 0.938
Ni 0.688 0.688 0.688
Ni 0.935 0.436 0.436
Ni 0.938 0.442 0.938
Ni 0.938 0.938 0.442

Results
Energy: -4.63 eV per atom
Spin magnetization: 0.000 μB per atom
E_form: -0.133 eV per atom